First-principles (PBE) data for an optimized crystal structure of La5DySe6, as listed in Alexandria.

Output
As for the calculated density: 6.67 Mg/m³. The value obtained for the formation energy from raw total energies is -1.9574 eV per atom. The density of states at the Fermi level is 0.547 states/eV per atom. The calculated volume is 27.6 Å³/atom.

Cell lengths 7.400, 12.841, 7.401 Å; angles 90.00, 109.66, 90.00 degrees
Space group C2/m (No. 12)
One atom of each set of equivalent atoms:
La1 0.000 0.000 0.000 [2 per cell]
La2 0.000 0.166 0.500 [4 per cell]
La3 0.000 0.329 0.000 [4 per cell]
Dy1 0.000 0.500 0.500 [2 per cell]
Se1 0.240 0.500 0.254 [4 per cell]
Se2 0.242 0.339 0.742 [8 per cell]

First-principles (PBE) data for an optimized crystal structure of La4Dy3Se8, as listed in Alexandria.

Output
As for the calculated density: 6.12 Mg/m³. The value obtained for the formation energy from raw total energies is -1.7066 eV per atom. Its relative energy among the computed polymorphs is 0.192 eV per atom. The density of states at the Fermi level is 0.581 states/eV per atom. The calculated volume is 30.3 Å³/atom.

Cell lengths 8.1952, 8.1952, 23.4574 Å; angles 90.00, 90.00, 120.00 degrees
Space group R-3m (No. 166, hexagonal axes)
One atom of each set of equivalent atoms:
La1 0.0000 0.0000 0.0000 [3 per cell]
La2 0.0000 0.0000 0.1480 [6 per cell]
La3 0.0000 0.0000 0.5000 [3 per cell]
Dy1 0.0000 0.5000 0.0000 [9 per cell]
Se1 0.0000 0.0000 0.2702 [6 per cell]
Se2 0.0111 0.5056 0.2555 [18 per cell]

First-principles (PBE) data for an optimized crystal structure of La2DySe3, as listed in Alexandria.

Output
As for the calculated density: 6.99 Mg/m³. The value obtained for the formation energy from raw total energies is -1.9181 eV per atom. Its relative energy among the computed polymorphs is 0.000 eV per atom. The density of states at the Fermi level is 0.545 states/eV per atom. The calculated volume is 26.8 Å³/atom.

Cell lengths 7.308, 12.696, 7.360 Å; angles 90.00, 109.47, 90.00 degrees
Space group C2/m (No. 12)
One atom of each set of equivalent atoms:
La1 0.000 0.000 0.000 [2 per cell]
La2 0.000 0.162 0.500 [4 per cell]
La3 0.000 0.500 0.500 [2 per cell]
Dy1 0.000 0.333 0.000 [4 per cell]
Se1 0.233 0.500 0.233 [4 per cell]
Se2 0.248 0.328 0.761 [8 per cell]

First-principles (PBE) data for an optimized crystal structure of La3DySe6, as listed in Alexandria.

Output
As for the calculated density: 5.81 Mg/m³. The value obtained for the formation energy from raw total energies is -1.9530 eV per atom. Its relative energy among the computed polymorphs is 0.025 eV per atom. The density of states at the Fermi level is 0.000 states/eV per atom. The calculated volume is 30.1 Å³/atom.

Cell lengths 7.150, 7.854, 12.739 Å; angles 90.00, 122.66, 90.00 degrees
Space group P2_1/c (No. 14)
One atom of each set of equivalent atoms:
La1 0.000 0.000 0.000 [2 per cell]
La2 0.295 0.098 0.754 [4 per cell]
Dy1 0.500 0.000 0.500 [2 per cell]
Se1 0.103 0.062 0.258 [4 per cell]
Se2 0.263 0.681 0.081 [4 per cell]
Se3 0.409 0.189 0.078 [4 per cell]

First-principles (PBE) data for an optimized crystal structure of La3DySe6, as listed in Alexandria.

Output
As for the calculated density: 5.31 Mg/m³. The value obtained for the formation energy from raw total energies is -1.9783 eV per atom. Its relative energy among the computed polymorphs is 0.000 eV per atom. The density of states at the Fermi level is 0.000 states/eV per atom. The calculated volume is 32.9 Å³/atom.

Cell lengths 12.4663, 12.4663, 14.6869 Å; angles 90.00, 90.00, 120.00 degrees
Space group R-3 (No. 148, hexagonal axes)
One atom of each set of equivalent atoms:
La1 0.0499 0.2710 0.2009 [18 per cell]
Dy1 0.0000 0.0000 0.0000 [3 per cell]
Dy2 0.0000 0.0000 0.5000 [3 per cell]
Se1 0.0229 0.2081 0.3993 [18 per cell]
Se2 0.0320 0.1922 0.8806 [18 per cell]

First-principles (PBE) data for an optimized crystal structure of LaDySe2, as listed in Alexandria.

Output
As for the calculated density: 7.32 Mg/m³. The value obtained for the formation energy from raw total energies is -1.8824 eV per atom. Its relative energy among the computed polymorphs is 0.000 eV per atom. The density of states at the Fermi level is 0.502 states/eV per atom. The calculated volume is 26.1 Å³/atom.

Cell lengths 4.1689, 4.1689, 20.7784 Å; angles 90.00, 90.00, 120.00 degrees
Space group R-3m (No. 166, hexagonal axes)
One atom of each set of equivalent atoms:
La1 0.0000 0.0000 0.0000 [3 per cell]
Dy1 0.0000 0.0000 0.5000 [3 per cell]
Se1 0.0000 0.0000 0.2436 [6 per cell]

First-principles (PBE) data for an optimized crystal structure of La2DySe4, as listed in Alexandria.

Output
As for the calculated density: 6.11 Mg/m³. The value obtained for the formation energy from raw total energies is -1.8960 eV per atom. The density of states at the Fermi level is 0.322 states/eV per atom. The calculated volume is 29.4 Å³/atom.

Cell lengths 4.059, 14.273, 14.196 Å; angles 90.00, 90.00, 90.00 degrees
Space group Cmcm (No. 63)
One atom of each set of equivalent atoms:
La1 0.000 0.130 0.074 [8 per cell]
Dy1 0.000 0.372 0.250 [4 per cell]
Se1 0.000 0.016 0.250 [4 per cell]
Se2 0.000 0.219 0.627 [8 per cell]
Se3 0.000 0.500 0.000 [4 per cell]

First-principles (PBE) data for an optimized crystal structure of La4DySe7, as listed in Alexandria.

Output
As for the calculated density: 5.98 Mg/m³. The value obtained for the formation energy from raw total energies is -1.9960 eV per atom. The density of states at the Fermi level is 0.146 states/eV per atom. The calculated volume is 29.4 Å³/atom.

Cell lengths 14.017, 4.166, 12.527 Å; angles 90.00, 105.30, 90.00 degrees
Space group Cm (No. 8)
One atom of each set of equivalent atoms:
La1 0.000 0.000 0.000 [2 per cell]
La2 0.086 0.500 0.378 [2 per cell]
La3 0.190 0.000 0.765 [2 per cell]
La4 0.387 0.500 0.569 [2 per cell]
Dy1 0.274 0.500 0.149 [2 per cell]
Se1 0.048 0.500 0.623 [2 per cell]
Se2 0.130 0.500 0.930 [2 per cell]
Se3 0.158 0.000 0.221 [2 per cell]
Se4 0.226 0.000 0.521 [2 per cell]
Se5 0.348 0.500 0.788 [2 per cell]
Se6 0.381 0.000 0.076 [2 per cell]
Se7 0.426 0.500 0.349 [2 per cell]

First-principles (PBE) data for an optimized crystal structure of LaDy4Se5, as listed in Alexandria.

Output
As for the calculated density: 7.94 Mg/m³. The value obtained for the formation energy from raw total energies is -1.7978 eV per atom. The density of states at the Fermi level is 0.496 states/eV per atom. The calculated volume is 24.8 Å³/atom.

Cell lengths 13.712, 4.112, 10.115 Å; angles 90.00, 119.70, 90.00 degrees
Space group C2/m (No. 12)
One atom of each set of equivalent atoms:
La1 0.000 0.000 0.000 [2 per cell]
Dy1 0.097 0.500 0.395 [4 per cell]
Dy2 0.204 0.000 0.797 [4 per cell]
Se1 0.000 0.000 0.500 [2 per cell]
Se2 0.108 0.500 0.895 [4 per cell]
Se3 0.205 0.000 0.312 [4 per cell]

First-principles (PBE) data for an optimized crystal structure of LaDy3Se6, as listed in Alexandria.

Output
As for the calculated density: 6.65 Mg/m³. The value obtained for the formation energy from raw total energies is -1.9320 eV per atom. The calculated volume is 27.5 Å³/atom.

Cell lengths 11.655, 4.173, 11.944 Å; angles 90.00, 109.09, 90.00 degrees
Space group P2_1/m (No. 11)
One atom of each set of equivalent atoms:
La1 0.049 0.250 0.195 [2 per cell]
Dy1 0.159 0.250 0.587 [2 per cell]
Dy2 0.320 0.750 0.000 [2 per cell]
Dy3 0.442 0.250 0.334 [2 per cell]
Se1 0.084 0.750 0.406 [2 per cell]
Se2 0.119 0.250 0.965 [2 per cell]
Se3 0.197 0.750 0.750 [2 per cell]
Se4 0.265 0.750 0.228 [2 per cell]
Se5 0.392 0.250 0.558 [2 per cell]
Se6 0.481 0.250 0.113 [2 per cell]

First-principles (PBE) data for an optimized crystal structure of LaDy3Se4, as listed in Alexandria.

Output
As for the calculated density: 7.82 Mg/m³. The value obtained for the formation energy from raw total energies is -1.8034 eV per atom. The density of states at the Fermi level is 0.638 states/eV per atom. The calculated volume is 25.0 Å³/atom.

Cell lengths 8.377, 11.705, 4.083 Å; angles 90.00, 90.00, 90.00 degrees
Space group Cmmm (No. 65)
One atom of each set of equivalent atoms:
La1 0.000 0.000 0.000 [2 per cell]
Dy1 0.000 0.500 0.000 [2 per cell]
Dy2 0.250 0.250 0.500 [4 per cell]
Se1 0.000 0.256 0.000 [4 per cell]
Se2 0.237 0.500 0.500 [4 per cell]

First-principles (PBE) data for an optimized crystal structure of La6DySe8, as listed in Alexandria.

Output
As for the calculated density: 6.05 Mg/m³. The value obtained for the formation energy from raw total energies is -1.9946 eV per atom. The density of states at the Fermi level is 0.572 states/eV per atom. The calculated volume is 29.8 Å³/atom.

Cell lengths 12.137, 12.137, 12.137 Å; angles 90.00, 90.00, 90.00 degrees
Space group Fm-3m (No. 225)
One atom of each set of equivalent atoms:
La1 0.000 0.250 0.250 [24 per cell]
Dy1 0.000 0.000 0.000 [4 per cell]
Se1 0.000 0.000 0.241 [24 per cell]
Se2 0.250 0.250 0.250 [8 per cell]

First-principles (PBE) data for an optimized crystal structure of La4DySe6, as listed in Alexandria.

Output
As for the calculated density: 6.57 Mg/m³. The value obtained for the formation energy from raw total energies is -1.8869 eV per atom. The density of states at the Fermi level is 0.591 states/eV per atom. The calculated volume is 27.4 Å³/atom.

Cell lengths 12.0130, 12.0130, 14.4545 Å; angles 90.00, 90.00, 120.00 degrees
Space group R-3c (No. 167, hexagonal axes)
One atom of each set of equivalent atoms:
La1 0.0000 0.0000 0.2500 [6 per cell]
La2 0.0000 0.3824 0.2500 [18 per cell]
Dy1 0.0000 0.0000 0.0000 [6 per cell]
Se1 0.0297 0.2031 0.3873 [36 per cell]

First-principles (PBE) data for an optimized crystal structure of LaDy4Se6, as listed in Alexandria.

Output
As for the calculated density: 7.39 Mg/m³. The value obtained for the formation energy from raw total energies is -1.8757 eV per atom. The density of states at the Fermi level is 0.316 states/eV per atom. The calculated volume is 25.8 Å³/atom.

Cell lengths 4.073, 13.407, 20.788 Å; angles 90.00, 90.00, 90.00 degrees
Space group Cmcm (No. 63)
One atom of each set of equivalent atoms:
La1 0.000 0.156 0.250 [4 per cell]
Dy1 0.000 0.092 0.625 [8 per cell]
Dy2 0.000 0.359 0.538 [8 per cell]
Se1 0.000 0.000 0.000 [4 per cell]
Se2 0.000 0.180 0.750 [4 per cell]
Se3 0.000 0.267 0.091 [8 per cell]
Se4 0.000 0.453 0.664 [8 per cell]

First-principles (PBE) data for an optimized crystal structure of LaSmDy2Se4, as listed in Alexandria.

Output
As for the calculated density: 7.59 Mg/m³. The value obtained for the formation energy from raw total energies is -1.8297 eV per atom. The density of states at the Fermi level is 0.591 states/eV per atom. The calculated volume is 25.4 Å³/atom.

Cell lengths 7.151, 4.096, 7.336 Å; angles 90.00, 108.72, 90.00 degrees
Space group P2/m (No. 10)
One atom of each set of equivalent atoms:
La1 0.000 0.000 0.000 [1 per cell]
Sm1 0.500 0.500 0.000 [1 per cell]
Dy1 0.000 0.500 0.500 [1 per cell]
Dy2 0.500 0.000 0.500 [1 per cell]
Se1 0.250 0.000 0.737 [2 per cell]
Se2 0.260 0.500 0.266 [2 per cell]

First-principles (PBE) data for an optimized crystal structure of LaSm3Dy2Se6, as listed in Alexandria.

Output
As for the calculated density: 7.53 Mg/m³. The value obtained for the formation energy from raw total energies is -1.8242 eV per atom. The density of states at the Fermi level is 0.490 states/eV per atom. The calculated volume is 25.5 Å³/atom.

Cell lengths 7.198, 12.524, 7.212 Å; angles 90.00, 109.57, 90.00 degrees
Space group C2/m (No. 12)
One atom of each set of equivalent atoms:
La1 0.000 0.000 0.000 [2 per cell]
Sm1 0.000 0.161 0.500 [4 per cell]
Sm2 0.000 0.500 0.500 [2 per cell]
Dy1 0.000 0.333 0.000 [4 per cell]
Se1 0.236 0.500 0.243 [4 per cell]
Se2 0.245 0.328 0.751 [8 per cell]

First-principles (PBE) data for an optimized crystal structure of LaSmDy2Se6, as listed in Alexandria.

Output
As for the calculated density: 5.90 Mg/m³. The value obtained for the formation energy from raw total energies is -1.8822 eV per atom. The density of states at the Fermi level is 0.000 states/eV per atom. The calculated volume is 30.6 Å³/atom.

Cell lengths 7.3699, 7.3699, 19.5249 Å; angles 90.00, 90.00, 120.00 degrees
Space group R3 (No. 146, hexagonal axes)
One atom of each set of equivalent atoms:
La1 0.0000 0.0000 0.0000 [3 per cell]
Sm1 0.0000 0.0000 0.5049 [3 per cell]
Dy1 0.0000 0.0000 0.2028 [3 per cell]
Dy2 0.0000 0.0000 0.7054 [3 per cell]
Se1 0.0364 0.3569 0.7745 [9 per cell]
Se2 0.0510 0.6946 0.2748 [9 per cell]

First-principles (PBE) data for an optimized crystal structure of La3SmDy3Se8, as listed in Alexandria.

Output
As for the calculated density: 6.77 Mg/m³. The value obtained for the formation energy from raw total energies is -1.9165 eV per atom. The density of states at the Fermi level is 0.521 states/eV per atom. The calculated volume is 27.6 Å³/atom.

Cell lengths 8.3021, 8.3021, 20.7760 Å; angles 90.00, 90.00, 120.00 degrees
Space group R-3m (No. 166, hexagonal axes)
One atom of each set of equivalent atoms:
La1 0.0000 0.5000 0.0000 [9 per cell]
Sm1 0.0000 0.0000 0.5000 [3 per cell]
Dy1 0.0000 0.5000 0.5000 [9 per cell]
Se1 0.0000 0.0000 0.2440 [6 per cell]
Se2 0.0103 0.5051 0.7536 [18 per cell]

First-principles (PBE) data for an optimized crystal structure of LaSm2Dy3Se6, as listed in Alexandria.

Output
As for the calculated density: 7.69 Mg/m³. The value obtained for the formation energy from raw total energies is -1.8173 eV per atom. The density of states at the Fermi level is 0.491 states/eV per atom. The calculated volume is 25.2 Å³/atom.

Cell lengths 7.126, 12.409, 7.249 Å; angles 90.00, 109.25, 90.00 degrees
Space group C2/m (No. 12)
One atom of each set of equivalent atoms:
La1 0.000 0.000 0.000 [2 per cell]
Sm1 0.000 0.332 0.000 [4 per cell]
Dy1 0.000 0.165 0.500 [4 per cell]
Dy2 0.000 0.500 0.500 [2 per cell]
Se1 0.243 0.331 0.737 [8 per cell]
Se2 0.248 0.500 0.261 [4 per cell]